Entry 1:
## Pr5DyTm2 (GGA-PBE)

Data for Pr5DyTm2 after structural relaxation.

```
16
Lattice="3.238 -13.134 0.000 3.238 13.134 0.000 -0.841 0.000 6.487" Properties=species:S:1:pos:R:3 pbc="T T T"
Pr 1.149 4.873 6.446
Pr 2.607 9.813 4.865
Pr 1.097 2.519 4.440
Pr 1.518 -2.519 1.196
Pr 1.569 -4.873 3.203
Pr 4.065 4.873 3.284
Pr 4.117 2.519 5.291
Pr 4.537 -2.519 2.047
Pr 3.027 -9.813 1.622
Pr 4.486 -4.873 0.041
Dy 3.027 1.143 1.622
Dy 2.607 -1.143 4.865
Tm 0.000 0.000 0.000
Tm -0.420 0.000 3.243
Tm 1.198 6.567 3.243
Tm 1.619 -6.567 0.000
```

Density, g/cm³: 7.25
Total moment, μB/f.u.: 0.0
Fermi-level density of states, states/eV/atom: 1.2926
DFT total energy, eV/atom: -4.41
Energy of formation from the pure elements, eV/atom: 0.268
Energy relative to the lowest polymorph listed for this composition, meV/atom: 148

=====

Entry 2:
## PrDy6Tm (GGA-PBE)

Data for PrDy6Tm after structural relaxation.

```
8
Lattice="6.545 0.000 0.000 -0.030 6.712 0.000 -1.766 -3.261 5.880" Properties=species:S:1:pos:R:3 pbc="T T T"
Pr 0.000 0.000 0.000
Dy 0.652 2.300 2.843
Dy 1.639 3.646 0.013
Dy 0.852 -1.079 3.119
Dy 3.897 4.529 2.761
Dy 3.110 -0.195 5.867
Dy 4.097 1.151 3.037
Tm 3.272 0.000 0.000
```

Density, g/cm³: 8.26
Total moment, μB/f.u.: 0.0
Fermi-level density of states, states/eV/atom: 1.6644
DFT total energy, eV/atom: -4.40
Energy of formation from the pure elements, eV/atom: 0.205
Energy relative to the lowest polymorph listed for this composition, meV/atom: 180

=====

Entry 3:
## Pr4Dy15Tm (GGA-PBE)

Data for Pr4Dy15Tm after structural relaxation.

```
20
Lattice="5.059 0.000 0.000 0.000 5.059 0.000 0.000 0.000 25.199" Properties=species:S:1:pos:R:3 pbc="T T T"
Pr 0.000 0.000 2.535
Pr 0.000 0.000 7.587
Pr 0.000 0.000 17.613
Pr 0.000 0.000 22.664
Dy 0.000 2.529 0.000
Dy 0.000 2.529 5.067
Dy 0.000 2.529 10.137
Dy 0.000 2.529 15.063
Dy 0.000 2.529 20.132
Dy 2.529 0.000 0.000
Dy 2.529 0.000 5.067
Dy 2.529 0.000 10.137
Dy 2.529 0.000 15.063
Dy 2.529 0.000 20.132
Dy 2.529 2.529 2.530
Dy 2.529 2.529 7.605
Dy 2.529 2.529 12.600
Dy 2.529 2.529 17.594
Dy 2.529 2.529 22.669
Tm 0.000 0.000 12.600
```

Density, g/cm³: 8.16
Total moment, μB/f.u.: 0.0
Fermi-level density of states, states/eV/atom: 1.3352
DFT total energy, eV/atom: -4.61
Energy of formation from the pure elements, eV/atom: 0.021

=====

Entry 4:
## Pr4Dy4Tm (GGA-PBE)

Data for Pr4Dy4Tm after structural relaxation.

```
9
Lattice="-5.427 5.427 2.543 5.427 -5.427 2.543 5.427 5.427 -2.543" Properties=species:S:1:pos:R:3 pbc="T T T"
Pr 1.805 1.805 0.000
Pr 3.622 -3.622 2.543
Pr -3.622 3.622 2.543
Pr 3.622 3.622 2.543
Dy 5.427 1.792 0.000
Dy 1.792 5.427 0.000
Dy 3.635 0.000 2.543
Dy 0.000 3.635 2.543
Tm 0.000 0.000 2.543
```

Density, g/cm³: 7.66
Total moment, μB/f.u.: 0.0
Fermi-level density of states, states/eV/atom: 1.4211
DFT total energy, eV/atom: -4.65
Energy of formation from the pure elements, eV/atom: 0.019
Energy relative to the lowest polymorph listed for this composition, meV/atom: 0

=====

Entry 5:
## PrDy2Tm (GGA-PBE)

Data for PrDy2Tm after structural relaxation.

```
16
Lattice="8.050 0.000 0.000 0.000 8.050 0.000 0.000 0.000 8.050" Properties=species:S:1:pos:R:3 pbc="T T T"
Pr 0.000 0.000 0.000
Pr 0.000 4.025 4.025
Pr 4.025 0.000 4.025
Pr 4.025 4.025 0.000
Dy 2.012 2.012 2.012
Dy 2.012 2.012 6.037
Dy 2.012 6.037 2.012
Dy 2.012 6.037 6.037
Dy 6.037 2.012 2.012
Dy 6.037 2.012 6.037
Dy 6.037 6.037 2.012
Dy 6.037 6.037 6.037
Tm 0.000 0.000 4.025
Tm 0.000 4.025 0.000
Tm 4.025 0.000 0.000
Tm 4.025 4.025 4.025
```

Density, g/cm³: 8.08
Total moment, μB/f.u.: 0.0
Fermi-level density of states, states/eV/atom: 2.1273
DFT total energy, eV/atom: -4.47
Energy of formation from the pure elements, eV/atom: 0.143
Energy relative to the lowest polymorph listed for this composition, meV/atom: 126

=====

Entry 6:
## PrDy3Tm8 (GGA-PBE)

Data for PrDy3Tm8 after structural relaxation.

```
12
Lattice="-5.393 5.583 3.115 5.393 -5.583 3.115 5.393 5.583 -3.115" Properties=species:S:1:pos:R:3 pbc="T T T"
Pr 0.000 0.000 0.000
Dy 5.393 2.776 -1.029
Dy 0.000 5.583 0.001
Dy 0.000 2.807 2.086
Tm 3.605 0.000 0.009
Tm 7.181 0.000 0.009
Tm 1.804 2.811 -1.041
Tm 3.589 -2.772 2.074
Tm 3.579 5.583 0.010
Tm 1.814 0.000 3.125
Tm 1.804 8.355 -1.041
Tm 3.589 2.772 2.074
```

Density, g/cm³: 8.76
Total moment, μB/f.u.: 0.0
Fermi-level density of states, states/eV/atom: 1.7871
DFT total energy, eV/atom: -4.52
Energy of formation from the pure elements, eV/atom: 0.007

=====

Entry 7:
## Pr3Dy2Tm8 (GGA-PBE)

Data for Pr3Dy2Tm8 after structural relaxation.

```
13
Lattice="9.999 -3.850 0.000 9.999 3.850 0.000 -0.004 0.000 5.594" Properties=species:S:1:pos:R:3 pbc="T T T"
Pr 0.000 0.000 0.000
Pr 9.997 1.589 2.797
Pr 9.997 -1.589 2.797
Dy 4.811 0.000 5.588
Dy 15.183 0.000 0.006
Tm 2.713 0.000 2.794
Tm 7.787 1.604 5.593
Tm 6.564 0.000 2.792
Tm 12.206 1.604 0.001
Tm 7.787 -1.604 5.593
Tm 13.430 0.000 2.802
Tm 12.206 -1.604 0.001
Tm 17.280 0.000 2.800
```

Density, g/cm³: 8.09
Total moment, μB/f.u.: 0.0
Fermi-level density of states, states/eV/atom: 1.7109
DFT total energy, eV/atom: -4.30
Energy of formation from the pure elements, eV/atom: 0.260
Energy relative to the lowest polymorph listed for this composition, meV/atom: 232

=====

Entry 8:
## Pr5Dy4Tm (GGA-PBE)

Data for Pr5Dy4Tm after structural relaxation.

```
10
Lattice="3.643 0.000 0.000 0.000 3.643 0.000 0.000 0.000 25.330" Properties=species:S:1:pos:R:3 pbc="T T T"
Pr 0.000 0.000 0.000
Pr 0.000 0.000 5.085
Pr 0.000 0.000 10.167
Pr 0.000 0.000 15.164
Pr 0.000 0.000 20.246
Dy 1.822 1.822 2.543
Dy 1.822 1.822 7.630
Dy 1.822 1.822 17.700
Dy 1.822 1.822 22.788
Tm 1.822 1.822 12.665
```

Density, g/cm³: 7.52
Total moment, μB/f.u.: 0.0
Fermi-level density of states, states/eV/atom: 1.4025
DFT total energy, eV/atom: -4.66
Energy of formation from the pure elements, eV/atom: 0.017
Energy relative to the lowest polymorph listed for this composition, meV/atom: 0